# 1
The following is a DFT calculation (PBE) of a relaxed Ta2FeSe crystal.

```
4
Lattice="-2.735 -1.558 0.653 0.808 -2.299 -2.097 2.888 -3.154 4.570" Properties=species:S:1:pos:R:3 pbc="T T T"
Fe 1.377 -1.503 2.178
Ta 2.832 -3.093 4.481
Ta -0.118 -2.852 0.616
Se 1.202 -4.293 2.705
```

Summary:
Raw formation energy (eV/atom): -0.053

=====

# 2
The following is a DFT calculation (PBE) of a relaxed GeSbRhI2 crystal.

```
5
Lattice="5.538 0.000 0.000 0.000 5.538 0.000 0.000 0.000 5.503" Properties=species:S:1:pos:R:3 pbc="T T T"
Sb 0.000 0.000 2.752
I 0.000 2.769 0.000
I 2.769 0.000 0.000
Rh 2.769 2.769 2.752
Ge 0.000 0.000 0.000
```

Summary:
Raw formation energy (eV/atom): 1.020
Offset from the most stable computed form (meV per atom): 571

=====

# 3
The following is a DFT calculation (PBE) of a relaxed DyGe2HRu2 crystal.

```
6
Lattice="4.126 0.000 0.000 0.000 4.126 0.000 0.000 0.000 5.259" Properties=species:S:1:pos:R:3 pbc="T T T"
Dy 0.000 0.000 2.630
H 0.000 0.000 0.000
Ru 0.000 2.063 0.000
Ru 2.063 0.000 0.000
Ge 2.063 2.063 3.852
Ge 2.063 2.063 1.407
```

=====

These records have density values of 12.75; 5.42; 9.47 Mg/m³, in the order they appear.
These records have DFT total energy values of -35.87; -14.09; -38.82 eV/f.u., in the order they appear.